Computed, not measured: a geometry-optimized InTeN2Cl structure at the PBE level of DFT.

The relative energy among the computed polymorphs comes out at 0.000 eV/atom. For the formation energy without anion corrections, the calculation gives 6.880 eV/f.u. The density is 4.320 g/cm³. The value obtained for the total energy is -3.50 eV/atom.

It has space group P4/mmm (No. 123), with a = 4.275 Å, b = 4.275 Å, c = 6.432 Å, α = 90.00°, β = 90.00° and γ = 90.00°. Symmetry generates all atoms from In at (0.000, 0.000, 0.000), Te at (0.000, 0.000, 0.500), N at (0.000, 0.500, 0.000) and Cl at (0.500, 0.500, 0.500).

Computed, not measured: a geometry-optimized InSn3Pd3 structure at the PBE level of DFT.

The relative energy among the computed polymorphs comes out at 0.056 eV/atom. The density is 8.796 g/cm³. The value obtained for the total energy is -4.67 eV/atom.

It has space group C2/m (No. 12), with a = 7.941 Å, b = 10.358 Å, c = 7.259 Å, α = 90.00°, β = 92.11° and γ = 90.00°. Symmetry generates all atoms from In at (0.226, 0.000, 0.131), Sn at (0.000, 0.265, 0.000), Sn at (0.000, 0.348, 0.500), Sn at (0.101, 0.000, 0.678), Pd at (0.073, 0.500, 0.189) and Pd at (0.249, 0.253, 0.287).

Computed, not measured: a geometry-optimized TcSnIrOsS structure at the PBE level of DFT.

The relative energy among the computed polymorphs comes out at 0.066 eV/atom. For the formation energy without anion corrections, the calculation gives 0.657 eV/f.u. The density is 12.793 g/cm³. The value obtained for the total energy is -7.59 eV/atom.

It has space group Cm (No. 8), with a = 8.702 Å, b = 2.966 Å, c = 6.486 Å, α = 90.00°, β = 101.79° and γ = 90.00°. Symmetry generates all atoms from Tc at (0.000, 0.000, 0.000), Sn at (0.454, 0.500, 0.537), Ir at (0.143, 0.500, 0.347), Os at (0.267, 0.000, 0.744) and S at (0.215, 0.500, 0.008).

Computed, not measured: a geometry-optimized La3Pm2Y structure at the PBE level of DFT.

The relative energy among the computed polymorphs comes out at 0.000 eV/atom. The density is 6.235 g/cm³. The value obtained for the total energy is -5.11 eV/atom.

It has space group P2_1/m (No. 11), with a = 10.416 Å, b = 3.685 Å, c = 11.042 Å, α = 90.00°, β = 90.32° and γ = 90.00°. Symmetry generates all atoms from La at (0.124, 0.250, 0.417), La at (0.373, 0.750, 0.915), La at (0.375, 0.750, 0.250), Pm at (0.122, 0.250, 0.083), Pm at (0.373, 0.750, 0.584) and Y at (0.123, 0.250, 0.750).